# Li2Ca2Sn3

Li2Ca2Sn3 after structural relaxation (PBE-GGA, the Alexandria database).

Output
Energy (eV/atom): -3.28
Volume (Å³ per cell): 174.8
Distance to the lowest polymorph of the same formula (meV per atom): 50
Energy of formation (meV per atom): -447

a = 4.5088 Å, b = 5.9173 Å, c = 7.7430 Å
α = 111.89°, β = 90.00°, γ = 112.39°
Fractional coordinates of all 7 atoms:
Li1 0.8660 0.7319 0.7849
Li2 0.1340 0.2681 0.2151
Ca1 0.8564 0.7128 0.2241
Ca2 0.1436 0.2872 0.7759
Sn1 0.5000 0.0000 0.0000
Sn2 0.6272 0.2544 0.4553
Sn3 0.3728 0.7456 0.5447